No. 1
Computed, not measured: crystalline Nd2Cd3Pt2 at its relaxed geometry at the PBE level of DFT.

Results
Formation energy in eV/f.u.: -4.77

Unit cell a=4.0833 b=5.6376 c=7.7442 alpha=94.72 beta=90.00 gamma=111.23
Fractional positions:
Pt 0.0943 0.1886 0.6387
Pt 0.9057 0.8114 0.3613
Cd 0.0000 0.0000 0.0000
Cd 0.3130 0.6260 0.1266
Cd 0.6870 0.3740 0.8734
Nd 0.3765 0.7531 0.6494
Nd 0.6235 0.2469 0.3506



No. 2
Computed, not measured: crystalline Nd2CdPt9 at its relaxed geometry at the PBE level of DFT.

Results
Formation energy in eV/f.u.: -7.67

Unit cell a=5.4514 b=5.4514 c=9.4312 alpha=73.20 beta=73.20 gamma=60.00
Fractional positions:
Pt 0.0805 0.5863 0.7470
Pt 0.5863 0.0805 0.7470
Pt 0.3324 0.3324 0.0029
Pt 0.4137 0.9195 0.2530
Pt 0.9195 0.4137 0.2530
Pt 0.5000 0.5000 0.5000
Pt 0.4137 0.4137 0.2530
Pt 0.6676 0.6676 0.9971
Pt 0.5863 0.5863 0.7470
Nd 0.1362 0.1362 0.5915
Nd 0.8638 0.8638 0.4085
Cd 0.0000 0.0000 0.0000



No. 3
Computed, not measured: crystalline Nd2CdPt at its relaxed geometry at the PBE level of DFT.

Results
Formation energy in eV/f.u.: -2.76

Unit cell a=3.7218 b=7.3865 c=7.5808 alpha=90.00 beta=90.00 gamma=90.00
Fractional positions:
Pt 0.0000 0.7500 0.9646
Pt 0.0000 0.2500 0.0354
Nd 0.5000 0.9930 0.2246
Nd 0.5000 0.0070 0.7754
Nd 0.5000 0.4930 0.7754
Nd 0.5000 0.5070 0.2246
Cd 0.0000 0.2500 0.4848
Cd 0.0000 0.7500 0.5152



Which value of formation energy does entry 3 give? -2.76 eV/f.u.